Below is an optimized crystal structure of In4Hg6Te, with properties calculated at the PBE level.

Unit cell a=10.148 b=10.148 c=6.997 alpha=90.00 beta=90.00 gamma=90.00
Space group P4_2/nmc (No. 137, origin choice 2)
Inequivalent atoms, fractional coordinates:
In 0.002 0.250 0.023 x8
Hg 0.028 0.528 0.250 x8
Hg 0.250 0.250 0.243 x4
Te 0.250 0.750 0.750 x2

Calculated values
Total magnetic moment = 0.00 μB/f.u.
ρ = 8.25 g cm⁻³
D(E_F) = 6.6 states/eV per cell
Formation energy without anion corrections = 0.0119 eV/atom